Arrangement A

# P2SeSN | Alexandria | PBE | optimized geometry
# Volume   14.61 Å³ per atom
# Magnetic moment   0.000 μB per atom
data_P2SeSN
_chemical_formula_sum 'P2 Se1 S1 N1'
_cell_length_a 4.2686
_cell_length_b 4.2686
_cell_length_c 4.0085
_cell_angle_alpha 90.00
_cell_angle_beta 90.00
_cell_angle_gamma 90.00
_space_group_name_H-M_alt 'P 4/m m m'
_space_group_IT_number 123
_space_group_name_Hall '-P 4 2'
loop_
_atom_site_label
_atom_site_fract_x
_atom_site_fract_y
_atom_site_fract_z
P1 0.0000 0.5000 0.0000
Se1 0.0000 0.0000 0.5000
S1 0.5000 0.5000 0.5000
N1 0.5000 0.5000 0.0000

---

Arrangement B

# P2SeSN | Alexandria | PBE | optimized geometry
# Volume   21.32 Å³ per atom
# Magnetic moment   0.001 μB per atom
data_P2SeSN
_chemical_formula_sum 'P2 Se1 S1 N1'
_cell_length_a 4.8052
_cell_length_b 4.8052
_cell_length_c 4.6165
_cell_angle_alpha 90.00
_cell_angle_beta 90.00
_cell_angle_gamma 90.00
_space_group_name_H-M_alt 'P 4/m m m'
_space_group_IT_number 123
_space_group_name_Hall '-P 4 2'
loop_
_atom_site_label
_atom_site_fract_x
_atom_site_fract_y
_atom_site_fract_z
P1 0.0000 0.5000 0.0000
Se1 0.0000 0.0000 0.0000
S1 0.0000 0.0000 0.5000
N1 0.5000 0.5000 0.5000

---

It is arrangement B that is the least stable of them.

---

Arrangement A

# PSeSN2 | Alexandria | PBE | optimized geometry
# Volume   14.61 Å³ per atom
# Magnetic moment   0.072 μB per atom
data_PSeSN2
_chemical_formula_sum 'P1 Se1 S1 N2'
_cell_length_a 3.3933
_cell_length_b 3.3933
_cell_length_c 6.3441
_cell_angle_alpha 90.00
_cell_angle_beta 90.00
_cell_angle_gamma 90.00
_space_group_name_H-M_alt 'P 4/m m m'
_space_group_IT_number 123
_space_group_name_Hall '-P 4 2'
loop_
_atom_site_label
_atom_site_fract_x
_atom_site_fract_y
_atom_site_fract_z
P1 0.0000 0.0000 0.0000
Se1 0.0000 0.0000 0.5000
S1 0.5000 0.5000 0.5000
N1 0.0000 0.5000 0.0000

---

Arrangement B

# PSeSN2 | Alexandria | PBE | optimized geometry
# Volume   14.77 Å³ per atom
# Magnetic moment   0.128 μB per atom
data_PSeSN2
_chemical_formula_sum 'P1 Se1 S1 N2'
_cell_length_a 3.4425
_cell_length_b 3.4425
_cell_length_c 6.2312
_cell_angle_alpha 90.00
_cell_angle_beta 90.00
_cell_angle_gamma 90.00
_space_group_name_H-M_alt 'P 4/m m m'
_space_group_IT_number 123
_space_group_name_Hall '-P 4 2'
loop_
_atom_site_label
_atom_site_fract_x
_atom_site_fract_y
_atom_site_fract_z
P1 0.0000 0.0000 0.0000
Se1 0.5000 0.5000 0.0000
S1 0.0000 0.0000 0.5000
N1 0.0000 0.5000 0.5000

---

Arrangement C

# PSeSN2 | Alexandria | PBE | optimized geometry
# Volume   19.32 Å³ per atom
# Magnetic moment   0.010 μB per atom
data_PSeSN2
_chemical_formula_sum 'P1 Se1 S1 N2'
_cell_length_a 3.5964
_cell_length_b 3.5964
_cell_length_c 7.4692
_cell_angle_alpha 90.00
_cell_angle_beta 90.00
_cell_angle_gamma 90.00
_space_group_name_H-M_alt 'P 4/m m m'
_space_group_IT_number 123
_space_group_name_Hall '-P 4 2'
loop_
_atom_site_label
_atom_site_fract_x
_atom_site_fract_y
_atom_site_fract_z
P1 0.0000 0.0000 0.0000
Se1 0.5000 0.5000 0.5000
S1 0.5000 0.5000 0.0000
N1 0.0000 0.5000 0.5000

---

It is arrangement C that is the least stable of them.

---

Arrangement A

# PSe2SN | Alexandria | PBE | optimized geometry
# Volume   16.48 Å³ per atom
# Magnetic moment   0.000 μB per atom
data_PSe2SN
_chemical_formula_sum 'P1 Se2 S1 N1'
_cell_length_a 5.0361
_cell_length_b 5.0361
_cell_length_c 3.2497
_cell_angle_alpha 90.00
_cell_angle_beta 90.00
_cell_angle_gamma 90.00
_space_group_name_H-M_alt 'P 4/m m m'
_space_group_IT_number 123
_space_group_name_Hall '-P 4 2'
loop_
_atom_site_label
_atom_site_fract_x
_atom_site_fract_y
_atom_site_fract_z
P1 0.0000 0.0000 0.0000
Se1 0.0000 0.5000 0.0000
S1 0.5000 0.5000 0.5000
N1 0.0000 0.0000 0.5000

---

Arrangement B

# PSe2SN | Alexandria | PBE | optimized geometry
# Volume   16.98 Å³ per atom
# Magnetic moment   0.000 μB per atom
data_PSe2SN
_chemical_formula_sum 'P1 Se2 S1 N1'
_cell_length_a 5.0222
_cell_length_b 5.0222
_cell_length_c 3.3651
_cell_angle_alpha 90.00
_cell_angle_beta 90.00
_cell_angle_gamma 90.00
_space_group_name_H-M_alt 'P 4/m m m'
_space_group_IT_number 123
_space_group_name_Hall '-P 4 2'
loop_
_atom_site_label
_atom_site_fract_x
_atom_site_fract_y
_atom_site_fract_z
P1 0.0000 0.0000 0.0000
Se1 0.0000 0.5000 0.5000
S1 0.5000 0.5000 0.5000
N1 0.5000 0.5000 0.0000

---

It is arrangement B that is the least stable of them.

---

Arrangement A

# SiPSN2 | Alexandria | PBE | optimized geometry
# Volume   11.33 Å³ per atom
# Magnetic moment   0.045 μB per atom
data_SiPSN2
_chemical_formula_sum 'Si1 P1 S1 N2'
_cell_length_a 3.4551
_cell_length_b 3.4551
_cell_length_c 4.7441
_cell_angle_alpha 90.00
_cell_angle_beta 90.00
_cell_angle_gamma 90.00
_space_group_name_H-M_alt 'P 4/m m m'
_space_group_IT_number 123
_space_group_name_Hall '-P 4 2'
loop_
_atom_site_label
_atom_site_fract_x
_atom_site_fract_y
_atom_site_fract_z
Si1 0.0000 0.0000 0.0000
P1 0.5000 0.5000 0.5000
S1 0.5000 0.5000 0.0000
N1 0.0000 0.5000 0.5000

---

Arrangement B

# SiPSN2 | Alexandria | PBE | optimized geometry
# Volume   17.22 Å³ per atom
# Magnetic moment   0.000 μB per atom
data_SiPSN2
_chemical_formula_sum 'Si1 P1 S1 N2'
_cell_length_a 3.3833
_cell_length_b 3.3833
_cell_length_c 7.5218
_cell_angle_alpha 90.00
_cell_angle_beta 90.00
_cell_angle_gamma 90.00
_space_group_name_H-M_alt 'P 4/m m m'
_space_group_IT_number 123
_space_group_name_Hall '-P 4 2'
loop_
_atom_site_label
_atom_site_fract_x
_atom_site_fract_y
_atom_site_fract_z
Si1 0.0000 0.0000 0.0000
P1 0.5000 0.5000 0.5000
S1 0.0000 0.0000 0.5000
N1 0.0000 0.5000 0.0000

---

It is arrangement A that is the least stable of them.